Below is a relaxed K2OsPt crystal, with properties calculated at the GGA-PBE level.

Summary:
For the formation energy, the calculation gives 87 kJ/mol of atoms. For the density of states at the Fermi level, the calculation gives 0.6990 states/eV/atom. Its spin magnetization is 0.004 μB per cell. For the electronic total energy, the calculation gives -3.96 eV per atom.

a = 2.722 Å, b = 5.430 Å, c = 5.642 Å
α = 90.00°, β = 90.54°, γ = 90.00°
Space group P2/m (No. 10)
Inequivalent atoms, fractional coordinates:
K 0.004 0.000 0.252 [2 per cell]
Os 0.500 0.500 0.000 [1 per cell]
Pt 0.500 0.500 0.500 [1 per cell]


Below is a relaxed K2OsPt crystal, with properties calculated at the GGA-PBE level.

Summary:
For the formation energy, the calculation gives 117 kJ/mol of atoms. For the density of states at the Fermi level, the calculation gives 1.0516 states/eV/atom. Its spin magnetization is 11.994 μB per cell. For the electronic total energy, the calculation gives -3.66 eV per atom.

a = 7.160 Å, b = 7.160 Å, c = 7.160 Å
α = 90.00°, β = 90.00°, γ = 90.00°
Space group F-43m (No. 216)
Inequivalent atoms, fractional coordinates:
K 0.000 0.000 0.000 [4 per cell]
K 0.250 0.250 0.250 [4 per cell]
Os 0.000 0.000 0.500 [4 per cell]
Pt 0.250 0.250 0.750 [4 per cell]


Below is a relaxed KOs2Pt crystal, with properties calculated at the GGA-PBE level.

Summary:
For the formation energy, the calculation gives 91 kJ/mol of atoms. For the density of states at the Fermi level, the calculation gives 1.4762 states/eV/atom. Its spin magnetization is 0.002 μB per cell. For the electronic total energy, the calculation gives -6.46 eV per atom.

a = 2.650 Å, b = 4.314 Å, c = 7.347 Å
α = 90.00°, β = 90.00°, γ = 90.00°
Space group Pmmm (No. 47)
Inequivalent atoms, fractional coordinates:
K 0.000 0.000 0.000 [1 per cell]
Os 0.500 0.500 0.339 [2 per cell]
Pt 0.000 0.000 0.500 [1 per cell]


Below is a relaxed K2OsPt crystal, with properties calculated at the GGA-PBE level.

Summary:
For the formation energy, the calculation gives 80 kJ/mol of atoms. For the density of states at the Fermi level, the calculation gives 0.8297 states/eV/atom. Its spin magnetization is 0.000 μB per cell. For the electronic total energy, the calculation gives -4.04 eV per atom.

a = 2.997 Å, b = 4.751 Å, c = 11.168 Å
α = 90.00°, β = 90.00°, γ = 90.00°
Space group Cmmm (No. 65)
Inequivalent atoms, fractional coordinates:
K 0.000 0.000 0.245 [4 per cell]
Os 0.000 0.500 0.500 [2 per cell]
Pt 0.000 0.500 0.000 [2 per cell]


Below is a relaxed K3OsPt crystal, with properties calculated at the GGA-PBE level.

Summary:
For the formation energy, the calculation gives 125 kJ/mol of atoms. For the density of states at the Fermi level, the calculation gives 5.2660 states/eV/atom. Its spin magnetization is 3.000 μB per cell. For the electronic total energy, the calculation gives -2.82 eV per atom.

a = 6.072 Å, b = 6.072 Å, c = 6.072 Å
α = 90.00°, β = 90.00°, γ = 90.00°
Space group Pm-3m (No. 221)
Inequivalent atoms, fractional coordinates:
K 0.000 0.000 0.500 [3 per cell]
Os 0.500 0.500 0.500 [1 per cell]
Pt 0.000 0.000 0.000 [1 per cell]


Below is a relaxed K2OsPt crystal, with properties calculated at the GGA-PBE level.

Summary:
For the formation energy, the calculation gives 93 kJ/mol of atoms. For the density of states at the Fermi level, the calculation gives 1.0033 states/eV/atom. Its spin magnetization is 5.825 μB per cell. For the electronic total energy, the calculation gives -3.90 eV per atom.

a = 11.860 Å, b = 11.860 Å, c = 4.825 Å
α = 90.00°, β = 90.00°, γ = 90.00°
Space group I-42d (No. 122)
Inequivalent atoms, fractional coordinates:
K 0.078 0.250 0.125 [8 per cell]
Os 0.000 0.000 0.500 [4 per cell]
Pt 0.000 0.000 0.000 [4 per cell]


Below is a relaxed KOs2Pt crystal, with properties calculated at the GGA-PBE level.

Summary:
For the formation energy, the calculation gives 86 kJ/mol of atoms. For the density of states at the Fermi level, the calculation gives 1.1369 states/eV/atom. Its spin magnetization is 0.000 μB per cell. For the electronic total energy, the calculation gives -6.51 eV per atom.

a = 2.705 Å, b = 2.705 Å, c = 9.759 Å
α = 90.00°, β = 90.00°, γ = 90.00°
Space group P4/mmm (No. 123)
Inequivalent atoms, fractional coordinates:
K 0.000 0.000 0.000 [1 per cell]
Os 0.500 0.500 0.294 [2 per cell]
Pt 0.000 0.000 0.500 [1 per cell]


Below is a relaxed KOs2Pt crystal, with properties calculated at the GGA-PBE level.

Summary:
For the formation energy, the calculation gives 106 kJ/mol of atoms. For the density of states at the Fermi level, the calculation gives 0.7721 states/eV/atom. Its spin magnetization is 0.000 μB per cell. For the electronic total energy, the calculation gives -6.30 eV per atom.

a = 2.687 Å, b = 5.092 Å, c = 5.089 Å
α = 90.00°, β = 92.40°, γ = 90.00°
Space group P2/m (No. 10)
Inequivalent atoms, fractional coordinates:
K 0.000 0.000 0.000 [1 per cell]
Os 0.350 0.500 0.740 [2 per cell]
Pt 0.500 0.000 0.500 [1 per cell]


Below is a relaxed KOs2Pt crystal, with properties calculated at the GGA-PBE level.

Summary:
For the formation energy, the calculation gives 133 kJ/mol of atoms. For the density of states at the Fermi level, the calculation gives 1.0151 states/eV/atom. Its spin magnetization is 0.000 μB per cell. For the electronic total energy, the calculation gives -6.02 eV per atom.

a = 4.346 Å, b = 4.346 Å, c = 7.160 Å
α = 90.00°, β = 90.00°, γ = 90.00°
Space group I-4m2 (No. 119)
Inequivalent atoms, fractional coordinates:
K 0.000 0.000 0.000 [2 per cell]
Os 0.000 0.000 0.500 [2 per cell]
Os 0.000 0.500 0.750 [2 per cell]
Pt 0.000 0.500 0.250 [2 per cell]


Below is a relaxed K2OsPt crystal, with properties calculated at the GGA-PBE level.

Summary:
For the formation energy, the calculation gives 82 kJ/mol of atoms. For the density of states at the Fermi level, the calculation gives 0.7323 states/eV/atom. Its spin magnetization is 0.002 μB per cell. For the electronic total energy, the calculation gives -4.02 eV per atom.

a = 2.772 Å, b = 2.772 Å, c = 10.833 Å
α = 90.00°, β = 90.00°, γ = 90.00°
Space group P4/mmm (No. 123)
Inequivalent atoms, fractional coordinates:
K 0.000 0.000 0.242 [2 per cell]
Os 0.500 0.500 0.500 [1 per cell]
Pt 0.500 0.500 0.000 [1 per cell]


Below is a relaxed KOs2Pt crystal, with properties calculated at the GGA-PBE level.

Summary:
For the formation energy, the calculation gives 66 kJ/mol of atoms. For the density of states at the Fermi level, the calculation gives 0.4933 states/eV/atom. Its spin magnetization is 0.000 μB per cell. For the electronic total energy, the calculation gives -6.71 eV per atom.

a = 8.699 Å, b = 2.699 Å, c = 7.251 Å
α = 90.00°, β = 94.72°, γ = 90.00°
Space group Cm (No. 8)
Inequivalent atoms, fractional coordinates:
K 0.000 0.000 0.000 [2 per cell]
Os 0.232 0.000 0.643 [2 per cell]
Os 0.491 0.000 0.524 [2 per cell]
Pt 0.264 0.500 0.324 [2 per cell]


Below is a relaxed K2OsPt crystal, with properties calculated at the GGA-PBE level.

Summary:
For the formation energy, the calculation gives 90 kJ/mol of atoms. For the density of states at the Fermi level, the calculation gives 1.0298 states/eV/atom. Its spin magnetization is 1.292 μB per cell. For the electronic total energy, the calculation gives -3.94 eV per atom.

a = 5.653 Å, b = 10.840 Å, c = 2.735 Å
α = 90.00°, β = 90.00°, γ = 90.00°
Space group Cmmm (No. 65)
Inequivalent atoms, fractional coordinates:
K 0.250 0.250 0.000 [4 per cell]
Os 0.000 0.000 0.500 [2 per cell]
Pt 0.000 0.500 0.500 [2 per cell]


Below is a relaxed K2OsPt crystal, with properties calculated at the GGA-PBE level.

Summary:
For the formation energy, the calculation gives 96 kJ/mol of atoms. For the density of states at the Fermi level, the calculation gives 0.7299 states/eV/atom. Its spin magnetization is 3.934 μB per cell. For the electronic total energy, the calculation gives -3.87 eV per atom.

a = 3.889 Å, b = 4.065 Å, c = 10.892 Å
α = 90.00°, β = 90.00°, γ = 90.00°
Space group Immm (No. 71)
Inequivalent atoms, fractional coordinates:
K 0.000 0.000 0.244 [4 per cell]
Os 0.000 0.500 0.000 [2 per cell]
Pt 0.000 0.500 0.500 [2 per cell]


Below is a relaxed KOs3Pt crystal, with properties calculated at the GGA-PBE level.

Summary:
For the formation energy, the calculation gives 230 kJ/mol of atoms. For the density of states at the Fermi level, the calculation gives 2.1234 states/eV/atom. Its spin magnetization is 0.000 μB per cell. For the electronic total energy, the calculation gives -5.78 eV per atom.

a = 4.867 Å, b = 4.867 Å, c = 4.867 Å
α = 90.00°, β = 90.00°, γ = 90.00°
Space group Pm-3m (No. 221)
Inequivalent atoms, fractional coordinates:
K 0.000 0.000 0.000 [1 per cell]
Os 0.000 0.500 0.500 [3 per cell]
Pt 0.500 0.500 0.500 [1 per cell]


Below is a relaxed KOs2Pt crystal, with properties calculated at the GGA-PBE level.

Summary:
For the formation energy, the calculation gives 151 kJ/mol of atoms. For the density of states at the Fermi level, the calculation gives 1.3180 states/eV/atom. Its spin magnetization is 3.241 μB per cell. For the electronic total energy, the calculation gives -5.84 eV per atom.

a = 7.890 Å, b = 7.890 Å, c = 5.175 Å
α = 90.00°, β = 90.00°, γ = 90.00°
Space group I-42d (No. 122)
Inequivalent atoms, fractional coordinates:
K 0.000 0.000 0.000 [4 per cell]
Os 0.192 0.750 0.625 [8 per cell]
Pt 0.000 0.000 0.500 [4 per cell]


Below is a relaxed KOs2Pt crystal, with properties calculated at the GGA-PBE level.

Summary:
For the formation energy, the calculation gives 71 kJ/mol of atoms. For the density of states at the Fermi level, the calculation gives 0.7364 states/eV/atom. Its spin magnetization is 0.000 μB per cell. For the electronic total energy, the calculation gives -6.66 eV per atom.

a = 11.998 Å, b = 2.676 Å, c = 5.814 Å
α = 90.00°, β = 113.29°, γ = 90.00°
Space group C2/m (No. 12)
Inequivalent atoms, fractional coordinates:
K 0.000 0.000 0.000 [2 per cell]
Os 0.206 0.000 0.625 [4 per cell]
Pt 0.000 0.500 0.500 [2 per cell]


Below is a relaxed KOs2Pt crystal, with properties calculated at the GGA-PBE level.

Summary:
For the formation energy, the calculation gives 79 kJ/mol of atoms. For the density of states at the Fermi level, the calculation gives 1.0022 states/eV/atom. Its spin magnetization is 0.000 μB per cell. For the electronic total energy, the calculation gives -6.58 eV per atom.

a = 2.7599 Å, b = 2.7599 Å, c = 31.3180 Å
α = 90.00°, β = 90.00°, γ = 120.00°
Space group R-3m (No. 166, hexagonal axes)
Inequivalent atoms, fractional coordinates:
K 0.0000 0.0000 0.0000 [3 per cell]
Os 0.0000 0.0000 0.2388 [6 per cell]
Pt 0.0000 0.0000 0.5000 [3 per cell]


Below is a relaxed KOs2Pt crystal, with properties calculated at the GGA-PBE level.

Summary:
For the formation energy, the calculation gives 169 kJ/mol of atoms. For the density of states at the Fermi level, the calculation gives 2.2100 states/eV/atom. Its spin magnetization is 0.008 μB per cell. For the electronic total energy, the calculation gives -5.64 eV per atom.

a = 6.466 Å, b = 6.466 Å, c = 6.466 Å
α = 90.00°, β = 90.00°, γ = 90.00°
Space group Fm-3m (No. 225)
Inequivalent atoms, fractional coordinates:
K 0.000 0.000 0.000 [4 per cell]
Os 0.250 0.250 0.250 [8 per cell]
Pt 0.000 0.000 0.500 [4 per cell]


Below is a relaxed KOs2Pt crystal, with properties calculated at the GGA-PBE level.

Summary:
For the formation energy, the calculation gives 121 kJ/mol of atoms. For the density of states at the Fermi level, the calculation gives 1.3678 states/eV/atom. Its spin magnetization is 0.000 μB per cell. For the electronic total energy, the calculation gives -6.14 eV per atom.

a = 5.563 Å, b = 9.460 Å, c = 2.606 Å
α = 90.00°, β = 90.00°, γ = 90.00°
Space group Cmmm (No. 65)
Inequivalent atoms, fractional coordinates:
K 0.000 0.000 0.000 [2 per cell]
Os 0.250 0.250 0.500 [4 per cell]
Pt 0.000 0.500 0.000 [2 per cell]


Below is a relaxed K2OsPt crystal, with properties calculated at the GGA-PBE level.

Summary:
For the formation energy, the calculation gives 75 kJ/mol of atoms. For the density of states at the Fermi level, the calculation gives 0.2715 states/eV/atom. Its spin magnetization is 0.009 μB per cell. For the electronic total energy, the calculation gives -4.09 eV per atom.

a = 2.8580 Å, b = 2.8580 Å, c = 33.5566 Å
α = 90.00°, β = 90.00°, γ = 120.00°
Space group R-3m (No. 166, hexagonal axes)
Inequivalent atoms, fractional coordinates:
K 0.0000 0.0000 0.2484 [6 per cell]
Os 0.0000 0.0000 0.0000 [3 per cell]
Pt 0.0000 0.0000 0.5000 [3 per cell]